Here is a geometry-optimized SrBeAg2Pt structure from Alexandria. Energies are from GGA-PBE.

Unit cell a=4.676 b=4.676 c=4.529 alpha=90.00 beta=90.00 gamma=90.00
Positions (direct):
Sr: 0.500 0.500 0.500
Ag: 0.000 0.500 0.000
Ag: 0.500 0.000 0.000
Pt: 0.000 0.000 0.500
Be: 0.000 0.000 0.000

Values from the calculation:
The value obtained for the volume is 99.0 Å³/f.u. The space group is P4/mmm. The total energy comes out at -3.68 eV per atom.